[1]
# BaAs2PtSe8

A geometry-optimized BaAs2PtSe8 structure (GGA-PBE, Alexandria via LeMat-Bulk).

a b c (Å): 6.285 6.285 9.279
angles (deg): 90.00 90.00 120.00
Sites, in units of the cell vectors:
Se: 0.954 0.293 0.669
Se: 0.293 0.338 0.331
Se: 0.338 0.046 0.669
Se: 0.046 0.707 0.331
Se: 0.667 0.333 0.019
Se: 0.707 0.662 0.669
Se: 0.333 0.667 0.981
Se: 0.662 0.954 0.331
Pt: 0.000 0.000 0.500
As: 0.667 0.333 0.267
As: 0.333 0.667 0.733
Ba: 0.000 0.000 0.000

Output
calculated volume = 26.5 Å³/atom
formation energy without anion corrections = -0.373 eV per atom
total energy = -4.134 eV per atom

---

[2]
# CeZnNi

A geometry-optimized CeZnNi structure (GGA-PBE, Alexandria via LeMat-Bulk).

a b c (Å): 3.385 4.379 4.379
angles (deg): 120.00 90.00 90.00
Sites, in units of the cell vectors:
Ni: 0.167 0.333 0.667
Ce: 0.667 0.667 0.333
Zn: 0.167 0.000 0.000

Output
calculated volume = 18.7 Å³/atom
ΔE_f = -0.321 eV/atom
total energy = -4.650 eV per atom

---

[3]
# Re2OsSe

A geometry-optimized Re2OsSe structure (GGA-PBE, Alexandria via LeMat-Bulk).

a b c (Å): 5.639 5.639 6.779
angles (deg): 65.42 65.42 90.00
Sites, in units of the cell vectors:
Os: 0.000 0.000 0.000
Os: 0.750 0.250 0.500
Re: 0.875 0.880 0.750
Re: 0.120 0.625 0.250
Re: 0.375 0.370 0.750
Re: 0.630 0.125 0.250
Se: 0.250 0.750 0.500
Se: 0.500 0.500 0.000

Output
calculated volume = 21.8 Å³/atom
formation energy without anion corrections = 0.977 eV per atom
total energy = -8.925 eV per atom

---

[4]
# BeVPd6

A geometry-optimized BeVPd6 structure (GGA-PBE, Alexandria via LeMat-Bulk).

a b c (Å): 7.444 6.484 4.930
angles (deg): 48.97 40.87 54.81
Last column: magnetic moment on the atom in μB.
Sites, in units of the cell vectors:
Pd: 0.062 0.394 0.774  0.00
Pd: 0.938 0.606 0.226  0.00
Pd: 0.771 0.937 0.687  0.00
Pd: 0.605 0.230 0.102  0.00
Pd: 0.229 0.063 0.313  0.00
Pd: 0.395 0.770 0.898  0.00
V: 0.500 0.500 0.500  1.48
Be: 0.000 0.000 0.000  0.01

Output
calculated volume = 14.5 Å³/atom
ΔE_f = -0.189 eV/atom
total energy = -5.689 eV per atom

---

[5]
# ThMg2Tl

A geometry-optimized ThMg2Tl structure (GGA-PBE, Alexandria via LeMat-Bulk).

a b c (Å): 4.774 6.307 7.004
angles (deg): 90.00 90.00 90.00
Sites, in units of the cell vectors:
Tl: 0.000 0.500 0.256
Tl: 0.500 0.000 0.744
Mg: 0.500 0.241 0.136
Mg: 0.500 0.759 0.136
Mg: 0.000 0.741 0.864
Mg: 0.000 0.259 0.864
Th: 0.500 0.500 0.580
Th: 0.000 0.000 0.420

Output
calculated volume = 26.4 Å³/atom
ΔE_f = -0.067 eV/atom
offset from the most stable computed form = 7.7 meV per atom
total energy = -3.311 eV per atom

---

[6]
# IrRuPt2

A geometry-optimized IrRuPt2 structure (GGA-PBE, Alexandria via LeMat-Bulk).

a b c (Å): 9.173 9.173 9.173
angles (deg): 17.31 17.31 17.31
Last column: magnetic moment on the atom in μB.
Sites, in units of the cell vectors:
Ir: 0.750 0.750 0.750  0.22
Pt: 0.501 0.501 0.501  0.02
Pt: 0.999 0.999 0.999  0.02
Ru: 0.250 0.250 0.250  -0.02

Output
calculated volume = 14.9 Å³/atom
ΔE_f = 0.076 eV/atom
offset from the most stable computed form = 120.0 meV per atom
total energy = -7.478 eV per atom

---

[7]
# TcN

A geometry-optimized TcN structure (GGA-PBE, Alexandria via LeMat-Bulk).

a b c (Å): 5.485 5.593 6.738
angles (deg): 90.00 90.00 90.00
Sites, in units of the cell vectors:
Tc: 0.241 0.377 0.998
Tc: 0.741 0.123 0.002
Tc: 0.759 0.877 0.502
Tc: 0.259 0.623 0.498
Tc: 0.136 0.012 0.259
Tc: 0.364 0.988 0.759
Tc: 0.864 0.512 0.241
Tc: 0.636 0.488 0.741
N: 0.819 0.864 0.198
N: 0.108 0.955 0.549
N: 0.319 0.636 0.802
N: 0.392 0.045 0.049
N: 0.681 0.136 0.698
N: 0.608 0.545 0.451
N: 0.181 0.364 0.302
N: 0.892 0.455 0.951

Output
calculated volume = 12.9 Å³/atom
offset from the most stable computed form = 134.2 meV per atom
formation energy without anion corrections = 0.138 eV per atom
total energy = -9.207 eV per atom

---

[8]
# BeCoAs2Br

A geometry-optimized BeCoAs2Br structure (GGA-PBE, Alexandria via LeMat-Bulk).

a b c (Å): 4.378 4.378 5.088
angles (deg): 90.00 90.00 90.00
Last column: magnetic moment on the atom in μB.
Sites, in units of the cell vectors:
As: 0.000 0.500 0.000  0.00
As: 0.500 0.000 0.000  0.00
Co: 0.500 0.500 0.500  2.05
Be: 0.000 0.000 0.000  0.00
Br: 0.000 0.000 0.500  0.02

Output
calculated volume = 19.5 Å³/atom
offset from the most stable computed form = 71.4 meV per atom
formation energy without anion corrections = 0.827 eV per atom
total energy = -3.534 eV per atom

---

[9]
# Ga3CuPd6

A geometry-optimized Ga3CuPd6 structure (GGA-PBE, Alexandria via LeMat-Bulk).

a b c (Å): 5.621 7.737 7.737
angles (deg): 108.86 90.00 90.00
Sites, in units of the cell vectors:
Pd: 0.311 0.062 0.453
Pd: 0.811 0.453 0.062
Pd: 0.796 0.045 0.955
Pd: 0.624 0.278 0.722
Pd: 0.811 0.938 0.547
Pd: 0.124 0.722 0.278
Pd: 0.109 0.726 0.674
Pd: 0.609 0.274 0.326
Pd: 0.109 0.326 0.274
Pd: 0.296 0.955 0.045
Pd: 0.609 0.674 0.726
Pd: 0.311 0.547 0.938
Ga: 0.923 0.033 0.279
Ga: 0.923 0.721 0.967
Ga: 0.298 0.416 0.584
Ga: 0.423 0.967 0.721
Ga: 0.423 0.279 0.033
Ga: 0.798 0.584 0.416
Cu: 0.083 0.217 0.783
Cu: 0.583 0.783 0.217

Output
calculated volume = 15.9 Å³/atom
ΔE_f = -0.407 eV/atom
total energy = -4.840 eV per atom

---

[10]
# Tb2HoSe

A geometry-optimized Tb2HoSe structure (GGA-PBE, Alexandria via LeMat-Bulk).

a b c (Å): 3.616 3.616 8.460
angles (deg): 90.00 90.00 90.00
Sites, in units of the cell vectors:
Tb: 0.000 0.000 0.209
Tb: 0.000 0.000 0.791
Ho: 0.500 0.500 0.500
Se: 0.500 0.500 0.000

Output
calculated volume = 27.6 Å³/atom
offset from the most stable computed form = 120.6 meV per atom
formation energy without anion corrections = -0.688 eV per atom
total energy = -5.019 eV per atom

---

[11]
# Ba2CaSb4Pt3

A geometry-optimized Ba2CaSb4Pt3 structure (GGA-PBE, Alexandria via LeMat-Bulk).

a b c (Å): 4.816 4.816 11.577
angles (deg): 90.00 90.00 90.00
Sites, in units of the cell vectors:
Ca: 0.500 0.500 0.500
Ba: 0.500 0.000 0.238
Ba: 0.000 0.500 0.762
Sb: 0.500 0.000 0.653
Sb: 0.500 0.500 0.000
Sb: 0.000 0.500 0.347
Sb: 0.000 0.000 0.000
Pt: 0.500 0.000 0.889
Pt: 0.000 0.500 0.111
Pt: 0.000 0.000 0.500

Output
calculated volume = 26.8 Å³/atom
formation energy without anion corrections = -0.844 eV per atom
total energy = -4.890 eV per atom

---

[12]
# Sr2GeF8

A geometry-optimized Sr2GeF8 structure (GGA-PBE, Alexandria via LeMat-Bulk).

a b c (Å): 4.730 6.778 6.778
angles (deg): 68.23 63.26 63.26
Last column: magnetic moment on the atom in μB.
Sites, in units of the cell vectors:
Sr: 0.972 0.337 0.337  0.00
Sr: 0.028 0.663 0.663  0.00
F: 0.009 0.287 0.948  0.00
F: 0.621 0.592 0.592  0.06
F: 0.449 0.888 0.888  0.00
F: 0.551 0.112 0.112  0.00
F: 0.009 0.948 0.287  0.00
F: 0.991 0.052 0.713  0.00
F: 0.991 0.713 0.052  0.00
F: 0.379 0.408 0.408  0.06
Ge: 0.000 0.000 0.000  0.00

Output
calculated volume = 15.4 Å³/atom
formation energy without anion corrections = -3.292 eV per atom
total energy = -5.378 eV per atom

---

[13]
# BeTl2NiIr

A geometry-optimized BeTl2NiIr structure (GGA-PBE, Alexandria via LeMat-Bulk).

a b c (Å): 4.737 3.939 4.737
angles (deg): 90.00 90.00 90.00
Sites, in units of the cell vectors:
Tl: 0.500 0.000 0.000
Tl: 0.000 0.000 0.500
Ni: 0.000 0.500 0.000
Ir: 0.500 0.500 0.500
Be: 0.000 0.000 0.000

Output
calculated volume = 17.7 Å³/atom
ΔE_f = 0.929 eV/atom
offset from the most stable computed form = 0.0 meV per atom
total energy = -3.691 eV per atom

---

[14]
# Ac2La2AlSi4

A geometry-optimized Ac2La2AlSi4 structure (GGA-PBE, Alexandria via LeMat-Bulk).

a b c (Å): 6.830 6.830 6.830
angles (deg): 97.36 115.85 115.85
Sites, in units of the cell vectors:
Si: 0.516 0.758 0.758
Si: 0.484 0.242 0.242
Si: 0.000 0.242 0.758
Si: 0.000 0.758 0.242
La: 0.000 0.319 0.319
La: 0.000 0.681 0.681
Ac: 0.500 0.750 0.250
Ac: 0.500 0.250 0.750
Al: 0.000 0.000 0.000

Output
calculated volume = 26.4 Å³/atom
formation energy without anion corrections = -0.212 eV per atom
total energy = -5.046 eV per atom

---

[15]
# BAsOs3

A geometry-optimized BAsOs3 structure (GGA-PBE, Alexandria via LeMat-Bulk).

a b c (Å): 4.129 4.129 4.129
angles (deg): 90.00 90.00 90.00
Sites, in units of the cell vectors:
Os: 0.000 0.500 0.000
Os: 0.000 0.000 0.500
Os: 0.500 0.000 0.000
As: 0.500 0.500 0.500
B: 0.000 0.000 0.000

Output
calculated volume = 14.1 Å³/atom
ΔE_f = 0.667 eV/atom
offset from the most stable computed form = 0.0 meV per atom
total energy = -8.336 eV per atom

---

[16]
# Nd4Mg2Sc

A geometry-optimized Nd4Mg2Sc structure (GGA-PBE, Alexandria via LeMat-Bulk).

a b c (Å): 6.678 6.678 6.678
angles (deg): 105.07 111.72 111.72
Sites, in units of the cell vectors:
Nd: 0.500 0.000 0.000
Nd: 0.000 0.500 0.000
Nd: 0.000 0.000 0.500
Nd: 0.500 0.500 0.500
Sc: 0.000 0.000 0.000
Mg: 0.500 0.000 0.500
Mg: 0.500 0.500 0.000

Output
calculated volume = 32.6 Å³/atom
ΔE_f = 0.144 eV/atom
total energy = -3.941 eV per atom

---

[17]
# Mo2Rh3

A geometry-optimized Mo2Rh3 structure (GGA-PBE, Alexandria via LeMat-Bulk).

a b c (Å): 8.132 7.062 5.268
angles (deg): 81.12 59.09 39.80
Sites, in units of the cell vectors:
Mo: 0.351 0.048 0.714
Mo: 0.886 0.714 0.048
Mo: 0.202 0.899 0.364
Mo: 0.536 0.364 0.899
Rh: 0.740 0.466 0.345
Rh: 0.449 0.345 0.466
Rh: 0.324 0.176 0.176
Rh: 0.784 0.510 0.801
Rh: 0.074 0.926 0.926
Rh: 0.905 0.801 0.510

Output
calculated volume = 14.9 Å³/atom
ΔE_f = -0.074 eV/atom
offset from the most stable computed form = 20.8 meV per atom
total energy = -8.818 eV per atom

---

[18]
# LaTc2Te

A geometry-optimized LaTc2Te structure (GGA-PBE, Alexandria via LeMat-Bulk).

a b c (Å): 3.409 3.409 6.917
angles (deg): 90.00 90.00 90.05
Sites, in units of the cell vectors:
Tc: 0.000 0.000 0.466
Tc: 0.000 0.000 0.034
La: 0.500 0.500 0.750
Te: 0.500 0.500 0.250

Output
calculated volume = 20.1 Å³/atom
offset from the most stable computed form = 606.8 meV per atom
formation energy without anion corrections = 0.356 eV per atom
total energy = -6.844 eV per atom

---

[19]
# Dy6Sn2C

A geometry-optimized Dy6Sn2C structure (GGA-PBE, Alexandria via LeMat-Bulk).

a b c (Å): 4.983 6.903 8.336
angles (deg): 114.46 107.40 90.00
Sites, in units of the cell vectors:
Dy: 0.500 0.777 0.000
Dy: 0.147 0.383 0.294
Dy: 0.500 0.223 0.000
Dy: 0.853 0.617 0.706
Dy: 0.147 0.912 0.294
Dy: 0.853 0.088 0.706
Sn: 0.669 0.669 0.337
Sn: 0.331 0.331 0.663
C: 0.000 0.000 0.000

Output
calculated volume = 27.4 Å³/atom
ΔE_f = -0.098 eV/atom
offset from the most stable computed form = 412.8 meV per atom
total energy = -5.080 eV per atom

---

[20]
# K11Rb4

A geometry-optimized K11Rb4 structure (GGA-PBE, Alexandria via LeMat-Bulk).

a b c (Å): 8.584 16.454 16.454
angles (deg): 90.00 90.00 90.00
Sites, in units of the cell vectors:
K: 0.249 0.679 0.679
K: 0.249 0.321 0.321
K: 0.500 0.096 0.096
K: 0.751 0.679 0.679
K: 0.500 0.500 0.500
K: 0.500 0.241 0.570
K: 0.000 0.596 0.404
K: 0.000 0.404 0.596
K: 0.751 0.321 0.321
K: 0.500 0.904 0.904
K: 0.500 0.430 0.759
K: 0.251 0.821 0.179
K: 0.500 0.759 0.430
K: 0.749 0.821 0.179
K: 0.000 0.259 0.070
K: 0.000 0.000 0.000
K: 0.749 0.179 0.821
K: 0.251 0.179 0.821
K: 0.000 0.070 0.259
K: 0.000 0.741 0.930
K: 0.000 0.930 0.741
K: 0.500 0.570 0.241
Rb: 0.000 0.460 0.864
Rb: 0.000 0.864 0.460
Rb: 0.000 0.540 0.136
Rb: 0.500 0.364 0.040
Rb: 0.500 0.960 0.636
Rb: 0.500 0.636 0.960
Rb: 0.500 0.040 0.364
Rb: 0.000 0.136 0.540

Output
calculated volume = 77.5 Å³/atom
ΔE_f = 0.009 eV/atom
total energy = -1.053 eV per atom